1.
A plane-wave DFT calculation with PBE was carried out for a geometry-optimized Sr2Ca6CdRh structure.

Cell: 8.307 8.307 8.307 Å, 60.00 60.00 90.00°
Positions (direct):
1 Sr 0.750 0.250 0.500
2 Sr 0.250 0.750 0.500
3 Cd 0.500 0.500 0.000
4 Ca 0.236 0.764 0.000
5 Ca 0.764 0.764 0.000
6 Ca 0.764 0.236 0.000
7 Ca 0.236 0.236 0.000
8 Ca 0.764 0.764 0.471
9 Ca 0.236 0.236 0.529
10 Rh 0.000 0.000 0.000

Computed properties:
Its total energy is -2.5152 eV per atom. For the total magnetization, the calculation gives 0.000 μB per cell. The crystal system is cubic. For the formation energy, the calculation gives -0.151 eV per atom.


2.
A plane-wave DFT calculation with PBE was carried out for a geometry-optimized CaTlCdRh structure.

Cell: 4.946 4.946 4.946 Å, 60.00 60.00 60.00°
Positions (direct):
1 Rh 0.500 0.500 0.500
2 Ca 0.000 0.000 0.000
3 Tl 0.250 0.250 0.250
4 Cd 0.750 0.750 0.750

Computed properties:
Its total energy is -3.3415 eV per atom. For the total magnetization, the calculation gives 0.000 μB per cell. The crystal system is cubic. For the formation energy, the calculation gives -0.183 eV per atom.


Q: What is the formula in the first record?
A: Sr2Ca6CdRh


Q: Number 2 is which compound?
A: CaTlCdRh


Q: What is the formula in the first record?
A: Sr2Ca6CdRh